# 1
PbS2ICl | PBEsol | relaxed

**Total magnetization**: 0.000 μB per atom
**Formation energy from raw total energies**: 0.29 eV/atom

Lattice parameters (Å, degrees): 5.171 5.171 5.180 90.00 90.00 90.00
Space group P4/mmm (No. 123)
Symmetry-distinct sites (fractional):
Pb (0.000, 0.000, 0.000) (multiplicity 1)
S (0.000, 0.500, 0.500) (multiplicity 2)
I (0.500, 0.500, 0.500) (multiplicity 1)
Cl (0.500, 0.500, 0.000) (multiplicity 1)

---

# 2
CsBe3S | PBEsol | relaxed

**Total magnetization**: 0.200 μB per atom
**Formation energy from raw total energies**: 2.60 eV/atom

Lattice parameters (Å, degrees): 6.262 6.262 6.262 90.00 90.00 90.00
Space group Pm-3m (No. 221)
Symmetry-distinct sites (fractional):
Cs (0.000, 0.000, 0.000) (multiplicity 1)
Be (0.000, 0.000, 0.500) (multiplicity 3)
S (0.500, 0.500, 0.500) (multiplicity 1)

---

# 3
Cr2B2As | PBEsol | relaxed

**E_form**: 0.22 eV per atom
**Total magnetization**: 0.000 μB per atom

Lattice parameters (Å, degrees): 5.948 5.948 2.908 90.00 90.00 90.00
Space group P4/mbm (No. 127)
Symmetry-distinct sites (fractional):
Cr (0.159, 0.341, 0.000) (multiplicity 4)
B (0.107, 0.607, 0.500) (multiplicity 4)
As (0.000, 0.000, 0.000) (multiplicity 2)

---

# 4
ScInHg4 | PBEsol | relaxed

**E_form**: 0.01 eV per atom
**Total magnetization**: 0.000 μB per atom

Lattice parameters (Å, degrees): 8.210 8.210 8.210 90.00 90.00 90.00
Space group F-43m (No. 216)
Symmetry-distinct sites (fractional):
Sc (0.000, 0.000, 0.000) (multiplicity 4)
In (0.250, 0.250, 0.750) (multiplicity 4)
Hg (0.125, 0.125, 0.375) (multiplicity 16)

---

# 5
K2InP2S7 | PBEsol | relaxed

**Total magnetization**: 0.000 μB per atom
**Formation energy from raw total energies**: -0.69 eV/atom

Lattice parameters (Å, degrees): 14.201 10.530 8.600 90.00 108.68 90.00
Space group C2/m (No. 12)
Symmetry-distinct sites (fractional):
K (0.170, 0.220, 0.161) (multiplicity 8)
In (0.000, 0.313, 0.500) (multiplicity 4)
P (0.061, 0.000, 0.439) (multiplicity 4)
P (0.112, 0.500, 0.817) (multiplicity 4)
S (0.003, 0.000, 0.196) (multiplicity 4)
S (0.032, 0.336, 0.810) (multiplicity 8)
S (0.140, 0.500, 0.590) (multiplicity 4)
S (0.145, 0.157, 0.533) (multiplicity 8)
S (0.235, 0.500, 0.012) (multiplicity 4)

---

# 6
YInTc2 | PBEsol | relaxed

**E_form**: 0.26 eV per atom
**Total magnetization**: 0.001 μB per atom

Lattice parameters (Å, degrees): 4.197 4.197 4.055 90.00 90.00 90.00
Space group P4/mmm (No. 123)
Symmetry-distinct sites (fractional):
Y (0.000, 0.000, 0.000) (multiplicity 1)
In (0.500, 0.500, 0.000) (multiplicity 1)
Tc (0.000, 0.500, 0.500) (multiplicity 2)

---

# 7
Co | PBEsol | relaxed

**Relative energy among the computed polymorphs**: 110 meV/atom
**E_form**: 0.11 eV per atom
**Total magnetization**: 1.647 μB per atom

Lattice parameters (Å, degrees): 4.387 4.387 4.387 90.00 90.00 90.00
Space group Pm-3n (No. 223)
Symmetry-distinct sites (fractional):
Co (0.000, 0.000, 0.000) (multiplicity 2)
Co (0.000, 0.250, 0.500) (multiplicity 6)

---

# 8
MgZrTl2 | PBEsol | relaxed

**E_form**: -0.14 eV per atom
**Total magnetization**: 0.000 μB per atom

Lattice parameters (Å, degrees): 4.544 4.544 4.244 90.00 90.00 90.00
Space group P4/mmm (No. 123)
Symmetry-distinct sites (fractional):
Mg (0.000, 0.000, 0.000) (multiplicity 1)
Zr (0.500, 0.500, 0.000) (multiplicity 1)
Tl (0.000, 0.500, 0.500) (multiplicity 2)

---

# 9
SrSiAg | PBEsol | relaxed

**Total magnetization**: 0.000 μB per atom
**Formation energy from raw total energies**: -0.01 eV/atom

Lattice parameters (Å, degrees): 3.511 3.511 11.114 90.00 90.00 90.00
Space group I4mm (No. 107)
Symmetry-distinct sites (fractional):
Sr (0.000, 0.000, 0.000) (multiplicity 2)
Si (0.000, 0.000, 0.298) (multiplicity 2)
Ag (0.000, 0.000, 0.708) (multiplicity 2)

---

# 10
GdNiAs | PBEsol | relaxed

**E_form**: -1.10 eV per atom
**Total magnetization**: 2.391 μB per atom

Lattice parameters (Å, degrees): 4.0153 4.0153 3.8861 90.00 90.00 120.00
Space group P-6m2 (No. 187)
Symmetry-distinct sites (fractional):
Gd (0.0000, 0.0000, 0.0000) (multiplicity 1)
Ni (0.6667, 0.3333, 0.5000) (multiplicity 1)
As (0.3333, 0.6667, 0.5000) (multiplicity 1)

---

# 11
Mn2CoOs | PBEsol | relaxed

**E_form**: 0.28 eV per atom
**Total magnetization**: 1.475 μB per atom

Lattice parameters (Å, degrees): 5.016 7.983 2.539 90.00 109.14 90.00
Space group C2/m (No. 12)
Symmetry-distinct sites (fractional):
Mn (0.250, 0.250, 0.000) (multiplicity 4)
Co (0.000, 0.000, 0.500) (multiplicity 2)
Os (0.000, 0.500, 0.500) (multiplicity 2)

---

# 12
Cd2Ga2Se5 | PBEsol | relaxed

**Total magnetization**: 0.000 μB per atom
**Formation energy from raw total energies**: -0.58 eV/atom

Lattice parameters (Å, degrees): 6.992 6.551 10.550 90.00 109.08 90.00
Space group P2_1 (No. 4)
Symmetry-distinct sites (fractional):
Cd (0.068, 0.000, 0.325) (multiplicity 2)
Cd (0.158, 0.521, 0.123) (multiplicity 2)
Ga (0.348, 0.517, 0.508) (multiplicity 2)
Ga (0.475, 0.010, 0.101) (multiplicity 2)
Se (0.045, 0.602, 0.330) (multiplicity 2)
Se (0.142, 0.115, 0.102) (multiplicity 2)
Se (0.290, 0.669, 0.704) (multiplicity 2)
Se (0.357, 0.146, 0.535) (multiplicity 2)
Se (0.488, 0.140, 0.889) (multiplicity 2)

---

# 13
Ni2RhClF | PBEsol | relaxed

**Total magnetization**: 0.245 μB per atom
**Formation energy from raw total energies**: 0.60 eV/atom

Lattice parameters (Å, degrees): 4.036 4.036 4.425 90.00 90.00 90.00
Space group P4/mmm (No. 123)
Symmetry-distinct sites (fractional):
Ni (0.000, 0.500, 0.000) (multiplicity 2)
Rh (0.000, 0.000, 0.500) (multiplicity 1)
Cl (0.000, 0.000, 0.000) (multiplicity 1)
F (0.500, 0.500, 0.500) (multiplicity 1)

---

# 14
KMn2Zn | PBEsol | relaxed

**E_form**: 0.91 eV per atom
**Total magnetization**: 1.910 μB per atom

Lattice parameters (Å, degrees): 2.830 5.329 10.414 90.00 90.00 90.00
Space group Immm (No. 71)
Symmetry-distinct sites (fractional):
K (0.000, 0.000, 0.000) (multiplicity 2)
Mn (0.000, 0.500, 0.209) (multiplicity 4)
Zn (0.000, 0.000, 0.500) (multiplicity 2)